This record from Alexandria describes a relaxed structure of AsP2W. The functional is PBE.

Lattice parameters (Å, degrees): 3.935 3.935 7.824 90.00 90.00 90.00
Space group I-4m2 (No. 119)
Unique sites:
As: 0.000 0.000 0.000 [2 per cell]
P: 0.000 0.000 0.500 [2 per cell]
P: 0.000 0.500 0.750 [2 per cell]
W: 0.000 0.500 0.250 [2 per cell]

## Properties
Density = 8.8 g/cm³
Density of states at the Fermi level = 7.01 states/eV/cell
Magnetic moment = 0.01 μB/cell
Energy of formation = 652 meV per atom
Energy = -6.454 eV per atom



This record from Alexandria describes a relaxed structure of AsP2W. The functional is PBE.

Lattice parameters (Å, degrees): 3.094 3.094 6.458 90.00 90.00 90.00
Space group P4/mmm (No. 123)
Unique sites:
As: 0.000 0.000 0.000 [1 per cell]
P: 0.500 0.500 0.289 [2 per cell]
W: 0.000 0.000 0.500 [1 per cell]

## Properties
Density = 8.6 g/cm³
Density of states at the Fermi level = 1.30 states/eV/cell
Magnetic moment = 0.00 μB/cell
Energy of formation = 87 meV per atom
Energy = -7.019 eV per atom